# TlSb2Pt | the Alexandria database | GGA-PBE | relaxed
# Distance to the lowest polymorph of the same formula ... 221.5 meV per atom
# Final energy ... -33.79 eV/cell
# Volume ... 207.9 Å³ per cell
# Raw formation energy ... -6 kJ per mole of atoms
data_TlSb2Pt
_cell_length_a 3.3715
_cell_length_b 5.5857
_cell_length_c 11.0387
_cell_angle_alpha 90.00
_cell_angle_beta 90.00
_cell_angle_gamma 90.00
_space_group_name_H-M_alt 'I m m m'
_space_group_IT_number 71
_space_group_name_Hall '-I 2 2'
loop_
_atom_site_label
_atom_site_fract_x
_atom_site_fract_y
_atom_site_fract_z
Tl1 0.0000 0.0000 0.0000
Sb1 0.0000 0.5000 0.1932
Pt1 0.0000 0.0000 0.5000